Below is a geometry-optimized Ac3Pt2Pb structure, with properties calculated at the GGA-PBE level.

a b c (Å): 4.332 18.807 4.772
angles (deg): 90.00 90.00 90.00
Space group Cmmm (No. 65)
Symmetry-distinct sites (fractional):
Ac (0.000, 0.000, 0.000) (multiplicity 2)
Ac (0.000, 0.160, 0.500) (multiplicity 4)
Pt (0.000, 0.374, 0.000) (multiplicity 4)
Pb (0.000, 0.500, 0.500) (multiplicity 2)

## Properties
DOS(E_F), states/eV/atom: 0.634
Raw total energy, eV per atom: -5.3104



Below is a geometry-optimized Ac2Pt2Pb3 structure, with properties calculated at the GGA-PBE level.

a b c (Å): 11.272 4.476 7.940
angles (deg): 90.00 96.71 90.00
Space group C2/m (No. 12)
Symmetry-distinct sites (fractional):
Ac (0.122, 0.000, 0.350) (multiplicity 4)
Pt (0.095, 0.500, 0.629) (multiplicity 4)
Pb (0.000, 0.500, 0.000) (multiplicity 2)
Pb (0.189, 0.000, 0.854) (multiplicity 4)

## Properties
ΔE to the lowest computed polymorph, meV per atom: 7.4
DOS(E_F), states/eV/atom: 0.547



Below is a geometry-optimized Ac2Pt9Pb structure, with properties calculated at the GGA-PBE level.

a b c (Å): 5.5572 5.5572 27.1452
angles (deg): 90.00 90.00 120.00
Space group R-3m (No. 166, hexagonal axes)
Symmetry-distinct sites (fractional):
Ac (0.0000, 0.0000, 0.1365) (multiplicity 6)
Pt (0.0000, 0.0000, 0.3322) (multiplicity 6)
Pt (0.0000, 0.0000, 0.5000) (multiplicity 3)
Pt (0.0031, 0.5015, 0.9164) (multiplicity 18)
Pb (0.0000, 0.0000, 0.0000) (multiplicity 3)

## Properties
DOS(E_F), states/eV/atom: 0.858
Raw total energy, eV per atom: -6.1367



Below is a geometry-optimized Ac5Pt2Pb structure, with properties calculated at the GGA-PBE level.

a b c (Å): 8.563 8.563 14.825
angles (deg): 90.00 90.00 90.00
Space group I4/mcm (No. 140)
Symmetry-distinct sites (fractional):
Ac (0.000, 0.000, 0.000) (multiplicity 4)
Ac (0.158, 0.342, 0.136) (multiplicity 16)
Pt (0.141, 0.359, 0.500) (multiplicity 8)
Pb (0.000, 0.000, 0.250) (multiplicity 4)

## Properties
DOS(E_F), states/eV/atom: 0.901
Raw total energy, eV per atom: -5.2977



Below is a geometry-optimized Ac5Pt2Pb5 structure, with properties calculated at the GGA-PBE level.

a b c (Å): 17.740 4.773 12.576
angles (deg): 90.00 131.93 90.00
Space group C2/m (No. 12)
Symmetry-distinct sites (fractional):
Ac (0.000, 0.000, 0.000) (multiplicity 2)
Ac (0.123, 0.000, 0.417) (multiplicity 4)
Ac (0.194, 0.000, 0.818) (multiplicity 4)
Pt (0.140, 0.500, 0.255) (multiplicity 4)
Pb (0.000, 0.500, 0.500) (multiplicity 2)
Pb (0.060, 0.500, 0.841) (multiplicity 4)
Pb (0.249, 0.500, 0.697) (multiplicity 4)

## Properties
DOS(E_F), states/eV/atom: 0.454
Raw total energy, eV per atom: -4.9291



Below is a geometry-optimized Ac8PtPb3 structure, with properties calculated at the GGA-PBE level.

a b c (Å): 7.891 7.891 15.899
angles (deg): 90.00 90.00 90.00
Space group I4/mmm (No. 139)
Symmetry-distinct sites (fractional):
Ac (0.238, 0.238, 0.117) (multiplicity 16)
Pt (0.000, 0.000, 0.000) (multiplicity 2)
Pb (0.000, 0.000, 0.500) (multiplicity 2)
Pb (0.000, 0.500, 0.250) (multiplicity 4)

## Properties
DOS(E_F), states/eV/atom: 1.177
Raw total energy, eV per atom: -4.5118



Below is a geometry-optimized AcPt3Pb3 structure, with properties calculated at the GGA-PBE level.

a b c (Å): 7.521 7.521 7.521
angles (deg): 90.00 90.00 90.00
Space group Pm-3n (No. 223)
Symmetry-distinct sites (fractional):
Ac (0.000, 0.000, 0.000) (multiplicity 2)
Pt (0.000, 0.250, 0.500) (multiplicity 6)
Pb (0.000, 0.500, 0.250) (multiplicity 6)

## Properties
ΔE to the lowest computed polymorph, meV per atom: 474.9
DOS(E_F), states/eV/atom: 0.921



Below is a geometry-optimized AcPt5Pb structure, with properties calculated at the GGA-PBE level.

a b c (Å): 9.158 5.526 11.197
angles (deg): 90.00 90.00 90.00
Space group Pnma (No. 62)
Symmetry-distinct sites (fractional):
Ac (0.249, 0.250, 0.058) (multiplicity 4)
Pt (0.050, 0.250, 0.592) (multiplicity 4)
Pt (0.072, 0.503, 0.804) (multiplicity 8)
Pt (0.078, 0.750, 0.013) (multiplicity 4)
Pt (0.183, 0.750, 0.242) (multiplicity 4)
Pb (0.143, 0.250, 0.359) (multiplicity 4)

## Properties
DOS(E_F), states/eV/atom: 0.735
Raw total energy, eV per atom: -6.0106



Below is a geometry-optimized AcPtPb structure, with properties calculated at the GGA-PBE level.

a b c (Å): 4.9058 4.9058 4.0262
angles (deg): 90.00 90.00 120.00
Space group P-6m2 (No. 187)
Symmetry-distinct sites (fractional):
Ac (0.0000, 0.0000, 0.0000) (multiplicity 1)
Pt (0.3333, 0.6667, 0.5000) (multiplicity 1)
Pb (0.6667, 0.3333, 0.5000) (multiplicity 1)

## Properties
ΔE to the lowest computed polymorph, meV per atom: 63.1
DOS(E_F), states/eV/atom: 0.205



Below is a geometry-optimized Ac6PtPb2 structure, with properties calculated at the GGA-PBE level.

a b c (Å): 7.131 9.036 13.016
angles (deg): 90.00 121.73 90.00
Space group P2_1/c (No. 14)
Symmetry-distinct sites (fractional):
Ac (0.084, 0.177, 0.446) (multiplicity 4)
Ac (0.316, 0.684, 0.448) (multiplicity 4)
Ac (0.367, 0.029, 0.243) (multiplicity 4)
Pt (0.500, 0.000, 0.500) (multiplicity 2)
Pb (0.170, 0.118, 0.751) (multiplicity 4)

## Properties
DOS(E_F), states/eV/atom: 1.356
Raw total energy, eV per atom: -4.7363



> DOS(E_F) of number 8 (AcPt5Pb)?

0.735 states/eV/atom



> Which value of DOS(E_F) does entry 3 give?

0.858 states/eV/atom



> Which of these has the lowest DOS(E_F)?

AcPtPb



> Which value of DOS(E_F) does entry 9 give?

0.205 states/eV/atom